Computed, not measured: a relaxed Tb2ErGa3Pt4 crystal at the PBE level of DFT.

Cell: 4.156 4.156 11.562 Å, 90.00 90.00 90.00°
Space group P-4m2 (No. 115)
Unique sites:
Tb (0.000, 0.500, 0.228) [2 per cell]
Er (0.000, 0.000, 0.500) [1 per cell]
Ga (0.000, 0.500, 0.872) [2 per cell]
Ga (0.500, 0.500, 0.500) [1 per cell]
Pt (0.000, 0.000, 0.000) [1 per cell]
Pt (0.000, 0.500, 0.658) [2 per cell]
Pt (0.500, 0.500, 0.000) [1 per cell]

Properties
energy relative to the elements = -984 meV/atom
E = -5.69 eV per atom